No. 1
Ni2PRh, optimized geometry, DFT PBE-GGA; uncorrected energy = -6.1603 eV per atom; energy relative to the elements = -79 meV per atom; N(E_F) = 6.12 states/eV/f.u.
1.0
-1.7789 1.7789 3.7826
1.7789 -1.7789 3.7826
1.7789 1.7789 -3.7826
Ni P Rh
2 1 1
direct
0.2500 0.7500 0.5000 Ni
0.7500 0.2500 0.5000 Ni
0.0000 0.0000 0.0000 P
0.5000 0.5000 0.0000 Rh



No. 2
NiP2Rh, optimized geometry, DFT PBE-GGA; uncorrected energy = -6.1521 eV per atom; energy relative to the elements = -164 meV per atom; N(E_F) = 2.57 states/eV/f.u.
1.0
2.8799 0.0000 0.0000
0.0000 2.8799 0.0000
0.0000 0.0000 7.1902
Ni P Rh
1 2 1
direct
0.0000 0.0000 0.0000 Ni
0.0000 0.0000 0.5548 P
0.5000 0.5000 0.1468 P
0.5000 0.5000 0.7318 Rh



No. 3
Ni2PRh, optimized geometry, DFT PBE-GGA; uncorrected energy = -6.4576 eV per atom; energy relative to the elements = -377 meV per atom; N(E_F) = 2.38 states/eV/f.u.
1.0
4.1905 0.0000 0.0000
-1.2668 4.2790 0.0000
-0.3322 -0.6333 5.3668
Ni P Rh
4 2 2
direct
0.0000 0.0000 0.0000 Ni
0.0642 0.0431 0.5206 Ni
0.5862 0.1654 0.2734 Ni
0.8651 0.4523 0.7157 Ni
0.4837 0.0685 0.8277 P
0.9458 0.6157 0.2533 P
0.4094 0.5848 0.0107 Rh
0.4292 0.6589 0.5126 Rh



No. 4
NiP2Rh, optimized geometry, DFT PBE-GGA; uncorrected energy = -6.2556 eV per atom; energy relative to the elements = -267 meV per atom; N(E_F) = 1.90 states/eV/f.u.
1.0
3.6439 0.0000 0.0000
0.0000 3.7223 0.0000
-0.5435 0.0000 4.2764
Ni P Rh
1 2 1
direct
0.0000 0.0000 0.0000 Ni
0.3142 0.5000 0.1776 P
0.6858 0.5000 0.8224 P
0.5000 0.0000 0.5000 Rh



No. 5
NiPRhS2, optimized geometry, DFT PBE-GGA; uncorrected energy = -4.4970 eV per atom; formation energy (no corrections) = 4.31 eV/f.u.; N(E_F) = 6.99 states/eV/f.u.
1.0
4.7835 0.0000 0.0000
0.0000 4.7835 0.0000
0.0000 0.0000 4.3345
Ni P Rh S
1 1 1 2
direct
0.0000 0.0000 0.0000 Ni
0.5000 0.5000 0.0000 P
0.5000 0.5000 0.5000 Rh
0.0000 0.5000 0.5000 S
0.5000 0.0000 0.5000 S



No. 6
NiPRhS2, optimized geometry, DFT PBE-GGA; uncorrected energy = -4.6698 eV per atom; formation energy (no corrections) = 3.45 eV/f.u.; N(E_F) = 3.86 states/eV/f.u.
1.0
4.4489 0.0000 0.0000
0.0000 4.4489 0.0000
0.0000 0.0000 4.1938
Ni P Rh S
1 1 1 2
direct
0.0000 0.0000 0.0000 Ni
0.0000 0.0000 0.5000 P
0.5000 0.5000 0.5000 Rh
0.0000 0.5000 0.0000 S
0.5000 0.0000 0.0000 S



No. 7
ScNiP2Rh, optimized geometry, DFT PBE-GGA; uncorrected energy = -5.0363 eV per atom; energy relative to the elements = 1021 meV per atom; N(E_F) = 5.70 states/eV/f.u.
1.0
4.8192 0.0000 0.0000
0.0000 4.8192 0.0000
0.0000 0.0000 4.5893
Sc Ni P Rh
1 1 2 1
direct
0.0000 0.0000 0.0000 Sc
0.5000 0.5000 0.5000 Ni
0.0000 0.5000 0.0000 P
0.5000 0.0000 0.0000 P
0.0000 0.0000 0.5000 Rh



No. 8
SiNi2PRh, optimized geometry, DFT PBE-GGA; uncorrected energy = -5.4637 eV per atom; formation energy (no corrections) = 2.43 eV/f.u.; N(E_F) = 3.62 states/eV/f.u.
1.0
4.1882 0.0000 0.0000
0.0000 4.1882 0.0000
0.0000 0.0000 4.4306
Si Ni P Rh
1 2 1 1
direct
0.0000 0.0000 0.0000 Si
0.0000 0.5000 0.0000 Ni
0.5000 0.0000 0.0000 Ni
0.5000 0.5000 0.5000 P
0.0000 0.0000 0.5000 Rh